Record 1
First-principles (GGA-PBE) data for Sm2Er2Ni after structural relaxation, as listed in OQMD.

Its energy of formation is 0.15 eV per formula unit.

It has space group P6_3/mmc (No. 194), with a = 5.3575 Å, b = 5.3575 Å, c = 10.6768 Å, α = 90.00°, β = 90.00° and γ = 120.00°. The asymmetric unit holds Sm at (0.3333, 0.6667, 0.0961), Er at (0.0000, 0.0000, 0.0000), Er at (0.3333, 0.6667, 0.7500) and Ni at (0.0000, 0.0000, 0.2500).



Record 2
First-principles (GGA-PBE) data for AgBi2O3F after structural relaxation, as listed in OQMD.

The value obtained for the total energy is -5.150 eV/atom.

It has space group P2_1/m (No. 11), with a = 7.8571 Å, b = 3.5688 Å, c = 8.1971 Å, α = 90.00°, β = 101.06° and γ = 90.00°. The asymmetric unit holds Ag at (0.0635, 0.2500, 0.3793), Bi at (0.1909, 0.2500, 0.9850), Bi at (0.4232, 0.7500, 0.6744), O at (0.0825, 0.7500, 0.1240), O at (0.1919, 0.7500, 0.7838), O at (0.3269, 0.2500, 0.5161) and F at (0.4659, 0.7500, 0.1251).



Record 3
First-principles (GGA-PBE) data for YCuGeTe2Se after structural relaxation, as listed in OQMD.

The value obtained for the total energy is -4.719 eV/atom.

It has space group Cmcm (No. 63), with a = 4.0801 Å, b = 14.1736 Å, c = 10.4298 Å, α = 90.00°, β = 90.00° and γ = 90.00°. The asymmetric unit holds Y at (0.0000, 0.0000, 0.0000), Cu at (0.0000, 0.4788, 0.2500), Ge at (0.0000, 0.2407, 0.7500), Te at (0.0000, 0.3460, 0.0691) and Se at (0.0000, 0.0817, 0.2500).



Record 4
First-principles (GGA-PBE) data for BaGaSnPdAu after structural relaxation, as listed in OQMD.

The distance to the lowest polymorph of the same formula is 0.000 eV/atom.

It has space group P4/nmm (No. 129, origin choice 2), with a = 4.6929 Å, b = 4.6929 Å, c = 11.0488 Å, α = 90.00°, β = 90.00° and γ = 90.00°. The asymmetric unit holds Ba at (0.2500, 0.2500, 0.2325), Ga at (0.2500, 0.2500, 0.9014), Sn at (0.2500, 0.7500, 0.5000), Pd at (0.2500, 0.7500, 0.0000) and Au at (0.2500, 0.2500, 0.6609).



Record 5
First-principles (GGA-PBE) data for HoLu2Fe2Co7 after structural relaxation, as listed in OQMD.

Its energy of formation is -2.76 eV per formula unit.

It has space group R-3m (No. 166, hexagonal axes), with a = 4.9960 Å, b = 4.9960 Å, c = 23.6193 Å, α = 90.00°, β = 90.00° and γ = 120.00°. The asymmetric unit holds Ho at (0.0000, 0.0000, 0.0000), Lu at (0.0000, 0.0000, 0.1410), Fe at (0.0000, 0.0000, 0.3347), Co at (0.0000, 0.0000, 0.5000) and Co at (0.0046, 0.5023, 0.9170).



Record 6
First-principles (GGA-PBE) data for Tb2SO2 after structural relaxation, as listed in OQMD.

The value obtained for the total energy is -7.014 eV/atom.

It has space group Cmmm (No. 65), with a = 4.1258 Å, b = 15.5105 Å, c = 3.6889 Å, α = 90.00°, β = 90.00° and γ = 90.00°. The asymmetric unit holds Tb at (0.0000, 0.1181, 0.0000), S at (0.0000, 0.5000, 0.0000) and O at (0.0000, 0.1773, 0.5000).



Record 7
First-principles (GGA-PBE) data for BaBeZnP2 after structural relaxation, as listed in OQMD.

The value obtained for the total energy is -4.175 eV/atom.

It has space group I-4m2 (No. 119), with a = 3.9166 Å, b = 3.9166 Å, c = 13.0289 Å, α = 90.00°, β = 90.00° and γ = 90.00°. The asymmetric unit holds Ba at (0.0000, 0.0000, 0.0000), Be at (0.0000, 0.5000, 0.2500), Zn at (0.0000, 0.5000, 0.7500) and P at (0.0000, 0.0000, 0.3542).



Record 8
First-principles (GGA-PBE) data for HfCuSiOs after structural relaxation, as listed in OQMD.

The distance to the lowest polymorph of the same formula is 0.290 eV/atom.

It has space group F-43m (No. 216), with a = 6.2443 Å, b = 6.2443 Å, c = 6.2443 Å, α = 90.00°, β = 90.00° and γ = 90.00°. The asymmetric unit holds Hf at (0.0000, 0.0000, 0.0000), Cu at (0.0000, 0.0000, 0.5000), Si at (0.2500, 0.2500, 0.2500) and Os at (0.2500, 0.2500, 0.7500).



Record 9
First-principles (GGA-PBE) data for SrTmGaTe3 after structural relaxation, as listed in OQMD.

The value obtained for the total energy is -4.090 eV/atom.

It has space group Cmcm (No. 63), with a = 4.4876 Å, b = 15.2938 Å, c = 11.0320 Å, α = 90.00°, β = 90.00° and γ = 90.00°. The asymmetric unit holds Sr at (0.0000, 0.2330, 0.2500), Tm at (0.0000, 0.0000, 0.0000), Ga at (0.0000, 0.4817, 0.7500), Te at (0.0000, 0.1042, 0.7500) and Te at (0.0000, 0.3588, 0.5416).



Record 10
First-principles (GGA-PBE) data for ZnFeTcNi after structural relaxation, as listed in OQMD.

Its energy of formation is 0.87 eV per formula unit. The distance to the lowest polymorph of the same formula is 0.124 eV/atom.

It has space group F-43m (No. 216), with a = 5.8752 Å, b = 5.8752 Å, c = 5.8752 Å, α = 90.00°, β = 90.00° and γ = 90.00°. The asymmetric unit holds Zn at (0.0000, 0.0000, 0.0000), Fe at (0.2500, 0.2500, 0.2500), Tc at (0.2500, 0.2500, 0.7500) and Ni at (0.0000, 0.0000, 0.5000).



Record 11
First-principles (GGA-PBE) data for TlSbAu after structural relaxation, as listed in OQMD.

The distance to the lowest polymorph of the same formula is 0.293 eV/atom.

It has space group P-62m (No. 189), with a = 8.0983 Å, b = 8.0983 Å, c = 4.8916 Å, α = 90.00°, β = 90.00° and γ = 120.00°. The asymmetric unit holds Tl at (0.0000, 0.0000, 0.0000), Tl at (0.3333, 0.6667, 0.5000), Sb at (0.0000, 0.2780, 0.5000) and Au at (0.0000, 0.4166, 0.0000).



Record 12
First-principles (GGA-PBE) data for TmTlHg after structural relaxation, as listed in OQMD.

The distance to the lowest polymorph of the same formula is 0.000 eV/atom.

It has space group F-43m (No. 216), with a = 6.9214 Å, b = 6.9214 Å, c = 6.9214 Å, α = 90.00°, β = 90.00° and γ = 90.00°. The asymmetric unit holds Tm at (0.0000, 0.0000, 0.0000), Tl at (0.2500, 0.2500, 0.7500) and Hg at (0.0000, 0.0000, 0.5000).



Record 13
First-principles (GGA-PBE) data for B6W7C3 after structural relaxation, as listed in OQMD.

The value obtained for the total energy is -9.929 eV/atom.

It has space group Cmmm (No. 65), with a = 3.0857 Å, b = 32.5998 Å, c = 3.1665 Å, α = 90.00°, β = 90.00° and γ = 90.00°. The asymmetric unit holds B at (0.0000, 0.1514, 0.0000), B at (0.0000, 0.2639, 0.0000), B at (0.0000, 0.3196, 0.0000), W at (0.0000, 0.0661, 0.0000), W at (0.0000, 0.2084, 0.5000), W at (0.0000, 0.3709, 0.5000), W at (0.0000, 0.5000, 0.5000), C at (0.0000, 0.0000, 0.0000) and C at (0.0000, 0.4341, 0.5000).



Record 14
First-principles (GGA-PBE) data for Cd2GeAs4W after structural relaxation, as listed in OQMD.

The value obtained for the total energy is -4.617 eV/atom.

It has space group I-4 (No. 82), with a = 6.0697 Å, b = 6.0697 Å, c = 11.5771 Å, α = 90.00°, β = 90.00° and γ = 90.00°. The asymmetric unit holds Cd at (0.0000, 0.0000, 0.0000), Cd at (0.0000, 0.5000, 0.2500), Ge at (0.0000, 0.0000, 0.5000), As at (0.2177, 0.2576, 0.6292) and W at (0.0000, 0.5000, 0.7500).



Record 15
First-principles (GGA-PBE) data for BaAlMo after structural relaxation, as listed in OQMD.

The distance to the lowest polymorph of the same formula is 0.000 eV/atom.

It has space group F-43m (No. 216), with a = 7.0969 Å, b = 7.0969 Å, c = 7.0969 Å, α = 90.00°, β = 90.00° and γ = 90.00°. The asymmetric unit holds Ba at (0.0000, 0.0000, 0.0000), Al at (0.0000, 0.0000, 0.5000) and Mo at (0.2500, 0.2500, 0.7500).



Record 16
First-principles (GGA-PBE) data for LiHfSb after structural relaxation, as listed in OQMD.

The distance to the lowest polymorph of the same formula is 0.000 eV/atom.

It has space group F-43m (No. 216), with a = 6.5575 Å, b = 6.5575 Å, c = 6.5575 Å, α = 90.00°, β = 90.00° and γ = 90.00°. The asymmetric unit holds Li at (0.0000, 0.0000, 0.0000), Hf at (0.0000, 0.0000, 0.5000) and Sb at (0.2500, 0.2500, 0.7500).



Record 17
First-principles (GGA-PBE) data for CdAu7 after structural relaxation, as listed in OQMD.

Its energy of formation is 0.14 eV per formula unit.

It has space group Pmmn (No. 59, origin choice 2), with a = 2.9453 Å, b = 4.1043 Å, c = 35.6480 Å, α = 90.00°, β = 90.00° and γ = 90.00°. The asymmetric unit holds Cd at (0.2500, 0.2500, 0.1838), Au at (0.2500, 0.2500, 0.2699), Au at (0.2500, 0.2500, 0.3536), Au at (0.2500, 0.2500, 0.4373), Au at (0.2500, 0.2500, 0.5209), Au at (0.2500, 0.2500, 0.6047), Au at (0.2500, 0.2500, 0.6889) and Au at (0.2500, 0.2500, 0.7754).



Record 18
First-principles (GGA-PBE) data for LaNd2Cu2Si4Pt2 after structural relaxation, as listed in OQMD.

The value obtained for the total energy is -5.885 eV/atom.

It has space group Immm (No. 71), with a = 4.1821 Å, b = 4.2482 Å, c = 24.0920 Å, α = 90.00°, β = 90.00° and γ = 90.00°. The asymmetric unit holds La at (0.0000, 0.0000, 0.0000), Nd at (0.0000, 0.5000, 0.3537), Cu at (0.0000, 0.5000, 0.0966), Si at (0.0000, 0.0000, 0.4497), Si at (0.0000, 0.5000, 0.1945) and Pt at (0.0000, 0.0000, 0.2486).



Record 19
First-principles (GGA-PBE) data for ZrGa3 after structural relaxation, as listed in OQMD.

The value obtained for the total energy is -4.898 eV/atom.

It has space group I4/mmm (No. 139), with a = 3.9920 Å, b = 3.9920 Å, c = 17.5904 Å, α = 90.00°, β = 90.00° and γ = 90.00°. The asymmetric unit holds Zr at (0.0000, 0.0000, 0.1181), Ga at (0.0000, 0.0000, 0.3724), Ga at (0.0000, 0.5000, 0.0000) and Ga at (0.0000, 0.5000, 0.2500).



Record 20
First-principles (GGA-PBE) data for DyCdCuTe3 after structural relaxation, as listed in OQMD.

The value obtained for the total energy is -3.723 eV/atom.

It has space group Cmcm (No. 63), with a = 4.1331 Å, b = 14.1292 Å, c = 11.2276 Å, α = 90.00°, β = 90.00° and γ = 90.00°. The asymmetric unit holds Dy at (0.0000, 0.0000, 0.0000), Cd at (0.0000, 0.2327, 0.2500), Cu at (0.0000, 0.4756, 0.7500), Te at (0.0000, 0.0976, 0.7500) and Te at (0.0000, 0.3523, 0.5730).



Record 21
First-principles (GGA-PBE) data for MgInFeHg after structural relaxation, as listed in OQMD.

The distance to the lowest polymorph of the same formula is 0.000 eV/atom.

It has space group F-43m (No. 216), with a = 6.5845 Å, b = 6.5845 Å, c = 6.5845 Å, α = 90.00°, β = 90.00° and γ = 90.00°. The asymmetric unit holds Mg at (0.0000, 0.0000, 0.0000), In at (0.2500, 0.2500, 0.2500), Fe at (0.0000, 0.0000, 0.5000) and Hg at (0.2500, 0.2500, 0.7500).



Record 22
First-principles (GGA-PBE) data for Sr3Zr2O7 after structural relaxation, as listed in OQMD.

The value obtained for the total energy is -7.852 eV/atom.

It has space group I4/mmm (No. 139), with a = 4.1460 Å, b = 4.1460 Å, c = 20.9479 Å, α = 90.00°, β = 90.00° and γ = 90.00°. The asymmetric unit holds Sr at (0.0000, 0.0000, 0.0000), Sr at (0.0000, 0.0000, 0.1863), Zr at (0.0000, 0.0000, 0.3993), O at (0.0000, 0.0000, 0.2995), O at (0.0000, 0.0000, 0.5000) and O at (0.0000, 0.5000, 0.0985).



Record 23
First-principles (GGA-PBE) data for GdH after structural relaxation, as listed in OQMD.

The value obtained for the total energy is -4.174 eV/atom.

It has space group P-6m2 (No. 187), with a = 3.3309 Å, b = 3.3309 Å, c = 3.2790 Å, α = 90.00°, β = 90.00° and γ = 120.00°. The asymmetric unit holds Gd at (0.0000, 0.0000, 0.0000) and H at (0.6667, 0.3333, 0.5000).